(1)
# Ba2CaZrIn

A geometry-optimized Ba2CaZrIn structure (PBEsol, Alexandria).

Structure (CIF):
```
data_Ba2CaZrIn
_chemical_formula_sum 'Ba2 Ca1 Zr1 In1'
_symmetry_space_group_name_H-M 'P 4/m m m'
_symmetry_Int_Tables_number 123
_symmetry_space_group_name_Hall '-P 4 2'
_cell_length_a 6.124
_cell_length_b 6.124
_cell_length_c 5.274
_cell_angle_alpha 90.00
_cell_angle_beta 90.00
_cell_angle_gamma 90.00
loop_
_atom_site_label
_atom_site_type_symbol
_atom_site_fract_x
_atom_site_fract_y
_atom_site_fract_z
Ba1 Ba 0.000 0.500 0.000
Ca1 Ca 0.000 0.000 0.000
Zr1 Zr 0.000 0.000 0.500
In1 In 0.500 0.500 0.500
```

Output
energy relative to the elements: 0.96 eV/atom
N(E_F): 6.7 states/eV/cell


(2)
# YMn2Fe

A geometry-optimized YMn2Fe structure (PBEsol, Alexandria).

Structure (CIF):
```
data_YMn2Fe
_chemical_formula_sum 'Y3 Mn6 Fe3'
_symmetry_space_group_name_H-M 'R 3 m'
_symmetry_Int_Tables_number 160
_symmetry_space_group_name_Hall 'R 3 -2"'
_cell_length_a 3.8491
_cell_length_b 3.8491
_cell_length_c 14.7872
_cell_angle_alpha 90.00
_cell_angle_beta 90.00
_cell_angle_gamma 120.00
loop_
_atom_site_label
_atom_site_type_symbol
_atom_site_fract_x
_atom_site_fract_y
_atom_site_fract_z
Y1 Y 0.0000 0.0000 0.0000
Mn1 Mn 0.0000 0.0000 0.5014
Mn2 Mn 0.0000 0.0000 0.8064
Fe1 Fe 0.0000 0.0000 0.1917
```

Output
energy relative to the elements: 0.17 eV/atom
N(E_F): 11.2 states/eV/cell
excess energy over the best structure of this formula in the dataset: 0.0 meV per atom


(3)
# Tc2RhSe

A geometry-optimized Tc2RhSe structure (PBEsol, Alexandria).

Structure (CIF):
```
data_Tc2RhSe
_chemical_formula_sum 'Tc2 Rh1 Se1'
_symmetry_space_group_name_H-M 'P 4/m m m'
_symmetry_Int_Tables_number 123
_symmetry_space_group_name_Hall '-P 4 2'
_cell_length_a 2.925
_cell_length_b 2.925
_cell_length_c 6.530
_cell_angle_alpha 90.00
_cell_angle_beta 90.00
_cell_angle_gamma 90.00
loop_
_atom_site_label
_atom_site_type_symbol
_atom_site_fract_x
_atom_site_fract_y
_atom_site_fract_z
Tc1 Tc 0.000 0.000 0.230
Rh1 Rh 0.500 0.500 0.500
Se1 Se 0.500 0.500 0.000
```

Output
N(E_F): 4.8 states/eV/cell
raw formation energy: 0.13 eV/atom


(4)
# Cs2Sb2OF10

A geometry-optimized Cs2Sb2OF10 structure (PBEsol, Alexandria).

Structure (CIF):
```
data_Cs2Sb2OF10
_chemical_formula_sum 'Cs4 Sb4 O2 F20'
_symmetry_space_group_name_H-M 'P 1 2/c 1'
_symmetry_Int_Tables_number 13
_symmetry_space_group_name_Hall '-P 2yc'
_cell_length_a 7.469
_cell_length_b 5.266
_cell_length_c 13.824
_cell_angle_alpha 90.00
_cell_angle_beta 100.46
_cell_angle_gamma 90.00
loop_
_atom_site_label
_atom_site_type_symbol
_atom_site_fract_x
_atom_site_fract_y
_atom_site_fract_z
Cs1 Cs 0.239 0.102 0.407
Sb1 Sb 0.293 0.484 0.666
O1 O 0.500 0.361 0.250
F1 F 0.083 0.340 0.583
F2 F 0.150 0.221 0.181
F3 F 0.210 0.339 0.777
F4 F 0.358 0.364 0.050
F5 F 0.421 0.184 0.639
```

Output
N(E_F): 0.0 states/eV/cell
raw formation energy: -2.53 eV/atom


(5)
# ZnNi2Pb

A geometry-optimized ZnNi2Pb structure (PBEsol, Alexandria).

Structure (CIF):
```
data_ZnNi2Pb
_chemical_formula_sum 'Zn2 Ni4 Pb2'
_symmetry_space_group_name_H-M 'I -4 m 2'
_symmetry_Int_Tables_number 119
_symmetry_space_group_name_Hall 'I -4 -2'
_cell_length_a 3.700
_cell_length_b 3.700
_cell_length_c 8.324
_cell_angle_alpha 90.00
_cell_angle_beta 90.00
_cell_angle_gamma 90.00
loop_
_atom_site_label
_atom_site_type_symbol
_atom_site_fract_x
_atom_site_fract_y
_atom_site_fract_z
Zn1 Zn 0.000 0.000 0.000
Ni1 Ni 0.000 0.000 0.500
Ni2 Ni 0.000 0.500 0.250
Pb1 Pb 0.000 0.500 0.750
```

Output
energy relative to the elements: 0.12 eV/atom
N(E_F): 3.0 states/eV/cell


(6)
# Li2YAl

A geometry-optimized Li2YAl structure (PBEsol, Alexandria).

Structure (CIF):
```
data_Li2YAl
_chemical_formula_sum 'Li2 Y1 Al1'
_symmetry_space_group_name_H-M 'P 4/m m m'
_symmetry_Int_Tables_number 123
_symmetry_space_group_name_Hall '-P 4 2'
_cell_length_a 3.455
_cell_length_b 3.455
_cell_length_c 6.701
_cell_angle_alpha 90.00
_cell_angle_beta 90.00
_cell_angle_gamma 90.00
loop_
_atom_site_label
_atom_site_type_symbol
_atom_site_fract_x
_atom_site_fract_y
_atom_site_fract_z
Li1 Li 0.000 0.000 0.204
Y1 Y 0.500 0.500 0.500
Al1 Al 0.500 0.500 0.000
```

Output
energy relative to the elements: 0.04 eV/atom
N(E_F): 2.6 states/eV/cell


(7)
# ScSeI3

A geometry-optimized ScSeI3 structure (PBEsol, Alexandria).

Structure (CIF):
```
data_ScSeI3
_chemical_formula_sum 'Sc1 Se1 I3'
_symmetry_space_group_name_H-M 'P m -3 m'
_symmetry_Int_Tables_number 221
_symmetry_space_group_name_Hall '-P 4 2 3'
_cell_length_a 5.657
_cell_length_b 5.657
_cell_length_c 5.657
_cell_angle_alpha 90.00
_cell_angle_beta 90.00
_cell_angle_gamma 90.00
loop_
_atom_site_label
_atom_site_type_symbol
_atom_site_fract_x
_atom_site_fract_y
_atom_site_fract_z
Sc1 Sc 0.000 0.000 0.000
Se1 Se 0.500 0.500 0.500
I1 I 0.000 0.500 0.500
```

Output
N(E_F): 6.6 states/eV/cell
raw formation energy: 0.23 eV/atom


(8)
# AlSi2Au

A geometry-optimized AlSi2Au structure (PBEsol, Alexandria).

Structure (CIF):
```
data_AlSi2Au
_chemical_formula_sum 'Al4 Si8 Au4'
_symmetry_space_group_name_H-M 'F m m m'
_symmetry_Int_Tables_number 69
_symmetry_space_group_name_Hall '-F 2 2'
_cell_length_a 5.208
_cell_length_b 5.213
_cell_length_c 9.588
_cell_angle_alpha 90.00
_cell_angle_beta 90.00
_cell_angle_gamma 90.00
loop_
_atom_site_label
_atom_site_type_symbol
_atom_site_fract_x
_atom_site_fract_y
_atom_site_fract_z
Al1 Al 0.000 0.000 0.000
Si1 Si 0.000 0.250 0.250
Au1 Au 0.000 0.000 0.500
```

Output
N(E_F): 5.0 states/eV/cell
raw formation energy: 0.04 eV/atom


(9)
# Ba2BeSi

A geometry-optimized Ba2BeSi structure (PBEsol, Alexandria).

Structure (CIF):
```
data_Ba2BeSi
_chemical_formula_sum 'Ba6 Be3 Si3'
_symmetry_space_group_name_H-M 'R 3 m'
_symmetry_Int_Tables_number 160
_symmetry_space_group_name_Hall 'R 3 -2"'
_cell_length_a 4.0973
_cell_length_b 4.0973
_cell_length_c 26.6800
_cell_angle_alpha 90.00
_cell_angle_beta 90.00
_cell_angle_gamma 120.00
loop_
_atom_site_label
_atom_site_type_symbol
_atom_site_fract_x
_atom_site_fract_y
_atom_site_fract_z
Ba1 Ba 0.0000 0.0000 0.0000
Ba2 Ba 0.0000 0.0000 0.1733
Be1 Be 0.0000 0.0000 0.4200
Si1 Si 0.0000 0.0000 0.7533
```

Output
N(E_F): 7.9 states/eV/cell
raw formation energy: -0.18 eV/atom
excess energy over the best structure of this formula in the dataset: 0.0 meV per atom


(10)
# Zn2CrAg

A geometry-optimized Zn2CrAg structure (PBEsol, Alexandria).

Structure (CIF):
```
data_Zn2CrAg
_chemical_formula_sum 'Zn8 Cr4 Ag4'
_symmetry_space_group_name_H-M 'F -4 3 m'
_symmetry_Int_Tables_number 216
_symmetry_space_group_name_Hall 'F -4 2 3'
_cell_length_a 6.153
_cell_length_b 6.153
_cell_length_c 6.153
_cell_angle_alpha 90.00
_cell_angle_beta 90.00
_cell_angle_gamma 90.00
loop_
_atom_site_label
_atom_site_type_symbol
_atom_site_fract_x
_atom_site_fract_y
_atom_site_fract_z
Zn1 Zn 0.000 0.000 0.000
Zn2 Zn 0.250 0.250 0.250
Cr1 Cr 0.000 0.000 0.500
Ag1 Ag 0.250 0.250 0.750
```

Output
energy relative to the elements: 0.23 eV/atom
N(E_F): 8.8 states/eV/cell


(11)
# BaGa2Ge2O8

A geometry-optimized BaGa2Ge2O8 structure (PBEsol, Alexandria).

Structure (CIF):
```
data_BaGa2Ge2O8
_chemical_formula_sum 'Ba4 Ga8 Ge8 O32'
_symmetry_space_group_name_H-M 'P 1 21/c 1'
_symmetry_Int_Tables_number 14
_symmetry_space_group_name_Hall '-P 2ybc'
_cell_length_a 8.774
_cell_length_b 9.956
_cell_length_c 9.378
_cell_angle_alpha 90.00
_cell_angle_beta 90.43
_cell_angle_gamma 90.00
loop_
_atom_site_label
_atom_site_type_symbol
_atom_site_fract_x
_atom_site_fract_y
_atom_site_fract_z
Ba1 Ba 0.248 0.088 0.108
Ga1 Ga 0.071 0.691 0.062
Ga2 Ga 0.434 0.080 0.728
Ge1 Ge 0.063 0.083 0.736
Ge2 Ge 0.438 0.696 0.066
O1 O 0.008 0.078 0.301
O2 O 0.058 0.633 0.624
O3 O 0.064 0.192 0.590
O4 O 0.246 0.087 0.815
O5 O 0.260 0.640 0.008
O6 O 0.430 0.192 0.575
O7 O 0.438 0.636 0.624
O8 O 0.489 0.090 0.299
```

Output
N(E_F): 0.0 states/eV/cell
raw formation energy: -2.04 eV/atom
excess energy over the best structure of this formula in the dataset: 0.0 meV per atom


(12)
# Li2MgB12H16O28

A geometry-optimized Li2MgB12H16O28 structure (PBEsol, Alexandria).

Structure (CIF):
```
data_Li2MgB12H16O28
_chemical_formula_sum 'Li2 Mg1 B12 H16 O28'
_symmetry_space_group_name_H-M 'P -1'
_symmetry_Int_Tables_number 2
_symmetry_space_group_name_Hall '-P 1'
_cell_length_a 6.851
_cell_length_b 9.145
_cell_length_c 9.351
_cell_angle_alpha 72.39
_cell_angle_beta 88.93
_cell_angle_gamma 68.16
loop_
_atom_site_label
_atom_site_type_symbol
_atom_site_fract_x
_atom_site_fract_y
_atom_site_fract_z
Li1 Li 0.233 0.264 0.215
Mg1 Mg 0.500 0.000 0.000
B1 B 0.011 0.956 0.308
B2 B 0.245 0.797 0.152
B3 B 0.271 0.309 0.509
B4 B 0.360 0.338 0.753
B5 B 0.396 0.895 0.343
B6 B 0.450 0.508 0.171
H1 H 0.004 0.547 0.616
H2 H 0.094 0.664 0.983
H3 H 0.150 0.976 0.938
H4 H 0.151 0.610 0.839
H5 H 0.154 0.231 0.841
H6 H 0.198 0.953 0.559
H7 H 0.401 0.728 0.818
H8 H 0.425 0.970 0.728
O1 O 0.036 0.881 0.197
O2 O 0.037 0.688 0.878
O3 O 0.131 0.358 0.385
O4 O 0.180 0.954 0.384
O5 O 0.193 0.972 0.660
O6 O 0.222 0.392 0.615
O7 O 0.257 0.638 0.142
O8 O 0.279 0.903 0.011
O9 O 0.286 0.234 0.876
O10 O 0.367 0.481 0.786
O11 O 0.416 0.764 0.269
O12 O 0.439 0.031 0.231
O13 O 0.457 0.360 0.156
O14 O 0.458 0.179 0.524
```

Output
N(E_F): 0.0 states/eV/cell
total DFT energy (no corrections): -0.5020 Ry/atom